# 1
A relaxed structure of RuAu3Cl, computed with PBE-GGA.

abc: 4.801 4.801 4.801
angles: 90.00 90.00 90.00
Space group Pm-3m (No. 221)
Unique sites:
Ru (0.000, 0.000, 0.000)
Au (0.000, 0.500, 0.500)
Cl (0.500, 0.500, 0.500)

DOS(E_F) = 4.6 states/eV/f.u.
Energy relative to the elements, uncorrected = 735 kJ/mol of formula units
Total moment = 1.68 μB/f.u.

# 2
A relaxed structure of SrPr4Eu, computed with PBE-GGA.

abc: 10.000 10.000 10.000
angles: 90.00 90.00 90.00
Space group F-43m (No. 216)
Unique sites:
Sr (0.000, 0.000, 0.000)
Pr (0.124, 0.124, 0.624)
Eu (0.250, 0.250, 0.250)

DOS(E_F) = 17.3 states/eV/f.u.
VASP energy = -4.995 eV per atom
Total moment = 7.24 μB/f.u.

# 3
A relaxed structure of HfUN2, computed with PBE-GGA.

abc: 3.2555 3.2555 16.9035
angles: 90.00 90.00 120.00
Space group R-3m (No. 166, hexagonal axes)
Unique sites:
Hf (0.0000, 0.0000, 0.0000)
U (0.0000, 0.0000, 0.5000)
N (0.0000, 0.0000, 0.2590)

DOS(E_F) = 4.9 states/eV/f.u.
Energy relative to the elements, uncorrected = -610 kJ/mol of formula units
Total moment = 1.67 μB/f.u.

# 4
A relaxed structure of IrPd2Se4, computed with PBE-GGA.

abc: 7.572 7.572 5.552
angles: 90.00 90.00 90.00
Space group I4/m (No. 87)
Unique sites:
Ir (0.000, 0.000, 0.000)
Pd (0.000, 0.500, 0.250)
Se (0.164, 0.729, 0.000)

DOS(E_F) = 4.4 states/eV/f.u.
Energy relative to the elements, uncorrected = 10 kJ/mol of formula units
Total moment = 0.00 μB/f.u.

# 5
A relaxed structure of FeRhI2, computed with PBE-GGA.

abc: 5.881 5.881 11.623
angles: 90.00 90.00 90.00
Space group I-42d (No. 122)
Unique sites:
Fe (0.000, 0.000, 0.000)
Rh (0.000, 0.000, 0.500)
I (0.229, 0.250, 0.125)

DOS(E_F) = 6.4 states/eV/f.u.
Energy relative to the elements, uncorrected = 224 kJ/mol of formula units
Total moment = 0.00 μB/f.u.

# 6
A relaxed structure of HgPt2Se, computed with PBE-GGA.

abc: 2.917 3.761 6.814
angles: 90.00 90.00 90.00
Space group Pmmm (No. 47)
Unique sites:
Hg (0.000, 0.000, 0.000)
Pt (0.500, 0.500, 0.239)
Se (0.500, 0.000, 0.500)

DOS(E_F) = 1.4 states/eV/f.u.
Energy relative to the elements, uncorrected = 36 kJ/mol of formula units
Total moment = 0.00 μB/f.u.